[1]
26
Lattice="6.275 0.069 0.000 -0.099 6.267 0.000 0.000 0.000 8.939" Properties=species:S:1:pos:R:3 comment="BaDyFe4O7, relaxed, DFT GGA-PBEsol" relative_energy_mev_per_atom=0 spacegroup="P2_1 (4)" pbc="T T T"
Ba 4.777 1.810 4.462
Ba 1.399 4.525 8.931
O 4.700 4.546 4.460
O 1.476 1.790 8.929
O 4.885 4.734 0.025
O 2.880 3.411 6.923
O 2.675 5.855 1.908
O 0.039 3.282 2.168
O 6.137 3.054 6.637
O 0.294 6.008 6.986
O 3.501 0.481 6.378
O 1.466 4.761 4.406
O 3.297 2.924 2.453
O 4.711 1.575 8.875
O 5.882 0.328 2.516
O 1.291 1.602 4.495
Fe 6.185 4.725 5.670
Fe 1.419 0.161 3.194
Fe -0.009 1.611 1.200
Fe 4.758 6.175 7.663
Fe 4.597 3.252 7.793
Fe 1.580 3.083 3.324
Fe 2.663 1.440 1.442
Fe 3.513 4.895 5.911
Dy 4.564 4.757 2.246
Dy 1.612 1.578 6.715


[2]
54
Lattice="-1.762 2.890 4.902 -5.779 -5.332 1.066 11.668 -10.024 10.105" Properties=species:S:1:pos:R:3 comment="Ba6Dy2Ga4O15, relaxed, DFT GGA-PBEsol" energy_ev_per_cell=-373.0 spacegroup="P2/c (13)" pbc="T T T"
O 7.747 -9.461 8.694
O 7.327 -5.183 11.539
O 4.472 -13.353 11.163
O 3.607 -4.798 7.847
O -0.257 -2.495 3.826
O -3.621 -3.005 7.379
O 7.113 -11.244 10.953
O -3.241 -4.344 4.641
O -2.986 -1.222 5.120
O -4.367 -4.126 0.976
O 5.006 -6.571 10.466
O 1.716 -3.409 5.872
O -2.305 -6.795 8.734
O -0.346 0.887 4.909
O 2.411 -9.057 10.201
O 0.376 -4.753 8.410
O 2.579 -1.951 3.467
O 0.312 -1.823 8.096
O 8.493 -8.340 15.097
O 6.431 -5.672 7.338
O 4.367 -6.128 5.296
O -0.241 -6.338 10.776
O 6.303 -12.598 13.415
O 0.519 -7.668 8.225
O -2.177 0.132 2.657
O 3.814 -10.643 7.977
O -0.880 -5.895 5.606
O 3.750 -7.713 7.662
O 7.367 -8.122 11.431
O 4.383 -9.971 12.246
Ba -2.416 -2.737 2.526
Ba 1.650 -0.428 6.051
Ba 2.523 -6.281 10.068
Ba 8.256 -6.706 8.955
Ba 0.462 -0.316 2.157
Ba 5.412 -3.879 9.668
Ba -1.151 -3.240 6.337
Ba 5.277 -9.226 9.736
Ba 3.664 -12.150 13.916
Ba 1.603 -6.185 6.004
Ba -1.286 -8.587 6.405
Ba 6.542 -9.729 13.546
Ga 6.171 -12.723 11.561
Ga -2.116 -5.796 4.287
Ga 4.655 -6.175 7.155
Ga -2.045 0.257 4.512
Ga 1.377 -3.246 4.039
Ga 6.242 -6.670 11.785
Ga 2.750 -9.220 12.033
Ga -0.529 -6.291 8.918
Dy 2.040 -3.263 8.074
Dy 8.749 -9.710 10.692
Dy 2.086 -9.203 7.998
Dy -4.623 -2.756 5.380


[3]
18
Lattice="7.265 0.000 -0.011 -2.577 8.228 0.006 -2.136 -2.956 8.591" Properties=species:S:1:pos:R:3 comment="Ba2DyGaSe5, relaxed, DFT GGA-PBEsol" energy_ev_per_cell=-93.3 spacegroup="P-1 (2)" pbc="T T T"
Se 1.986 0.631 4.372
Se 0.504 4.678 0.490
Se 1.704 0.538 0.602
Se 3.957 3.568 5.860
Se 0.567 4.640 4.214
Se 5.277 -0.749 5.874
Se -2.724 6.021 2.713
Se 2.049 0.593 8.096
Se -1.404 1.704 2.726
Se 0.849 4.733 7.984
Ba -0.321 2.115 6.088
Ba 2.874 3.156 2.498
Ba 1.080 -1.926 6.099
Ba 1.473 7.198 2.487
Dy -0.685 2.206 0.014
Dy 3.238 3.066 8.572
Ga 0.412 0.130 2.687
Ga 2.141 5.141 5.899


[4]
18
Lattice="-3.060 2.844 0.776 -1.791 -2.639 -9.029 -7.858 -9.651 4.380" Properties=species:S:1:pos:R:3 comment="Ba2DyInSe5, relaxed, DFT GGA-PBEsol" energy_ev_per_cell=-92.3 spacegroup="Cmc2_1 (36)" pbc="T T T"
Se -4.965 -4.309 -3.792
Se -4.140 -0.593 -2.525
Se -9.293 -8.581 -5.204
Se -3.641 -1.141 1.456
Se -8.874 -5.024 -4.954
Se -6.412 -3.756 0.109
Se -2.375 -0.873 -6.168
Se -0.763 -0.648 -0.632
Se -9.593 -7.408 0.949
Se -7.096 -7.044 -2.170
Dy -1.528 -0.670 -3.572
Dy -7.508 -4.265 -2.348
Ba -6.148 -6.875 0.950
Ba -5.502 -1.270 -5.413
Ba -3.342 -3.346 -0.918
Ba -10.362 -7.321 -2.401
In -9.247 -7.762 3.613
In -6.428 -5.326 -5.833


[5]
18
Lattice="4.514 0.000 0.000 -2.257 10.026 0.000 0.000 0.000 13.971" Properties=species:S:1:pos:R:3 comment="Ba2DyInTe5, relaxed, DFT GGA-PBEsol" energy_ev_per_cell=-82.8 spacegroup="Cmc2_1 (36)" pbc="T T T"
Dy 2.257 5.835 13.743
Dy 0.000 4.191 6.758
Ba 0.000 2.614 2.590
Ba 0.000 2.397 11.416
Ba 2.257 7.413 9.575
Ba 2.257 7.629 4.431
Te 2.257 3.824 8.906
Te 0.000 6.202 1.921
Te 2.257 0.086 3.344
Te 0.000 0.995 6.185
Te 0.000 7.149 6.975
Te 2.257 4.163 4.747
Te 2.257 9.032 13.170
Te 2.257 2.878 13.960
Te 0.000 5.863 11.732
Te 0.000 9.941 10.330
In 0.000 8.900 0.885
In 2.257 1.126 7.871


[6]
30
Lattice="-3.010 3.081 -3.970 -2.679 -1.974 4.821 3.419 12.249 6.917" Properties=species:S:1:pos:R:3 comment="Ba3DyIrRuO9, relaxed, DFT GGA-PBEsol" energy_ev_per_cell=-224.1 spacegroup="P6_3mc (186)" pbc="T T T"
O -0.940 9.396 1.655
O -1.090 12.457 6.174
O 0.977 10.705 3.247
O -2.197 8.469 3.918
O 0.473 7.949 3.519
O 1.593 11.935 5.773
O -0.570 2.099 4.102
O -0.288 9.772 5.523
O -1.321 3.989 6.136
O -2.435 0.003 3.878
O 0.173 13.388 3.902
O -3.848 1.450 2.015
O -1.178 0.930 1.615
O -1.709 11.227 3.649
O -1.991 3.554 2.228
O -3.256 2.622 4.504
O -2.741 5.442 4.265
O -0.058 4.920 3.864
Ru -0.631 9.524 3.550
Ru -2.230 1.714 3.022
Ba -0.766 6.960 5.984
Ba 0.855 3.063 1.730
Ba 0.307 10.804 8.154
Ba -1.513 6.365 1.766
Ba 2.564 9.188 5.188
Ba -2.586 2.520 -0.405
Ir -0.044 11.628 4.738
Ir -1.643 3.818 4.210
Dy 1.708 6.121 3.456
Dy 3.418 12.245 6.914


[7]
16
Lattice="6.067 0.000 0.000 3.033 5.254 0.000 3.033 1.751 8.433" Properties=species:S:1:pos:R:3 comment="Ba3Dy4O9, relaxed, DFT GGA-PBEsol" energy_ev_per_cell=-125.1 spacegroup="R3 (146)" pbc="T T T"
O 5.669 5.172 0.651
O 7.812 2.894 3.488
O 4.819 2.324 0.651
O 9.482 3.510 6.260
O 7.711 3.012 0.651
O 10.419 6.457 6.260
O 7.398 5.794 6.260
O 5.721 5.319 3.488
O 4.666 2.295 3.488
Ba 3.033 1.751 8.377
Ba 6.067 3.503 6.123
Ba 9.100 5.254 4.132
Dy 6.067 3.503 2.293
Dy 3.033 1.751 1.792
Dy 3.033 1.751 4.966
Dy 9.100 5.254 7.567


[8]
18
Lattice="-1.503 5.256 2.002 -5.775 -2.331 1.783 2.411 -1.526 5.816" Properties=species:S:1:pos:R:3 comment="BaDy2PdO5, relaxed, DFT GGA-PBEsol" energy_ev_per_cell=-138.3 spacegroup="P4/mbm (127)" pbc="T T T"
Dy -0.963 1.725 3.211
Dy -4.221 0.795 3.208
Dy -3.904 -0.327 6.390
Dy -0.646 0.604 6.393
O -4.487 -1.189 4.143
O -2.016 -1.441 6.660
O -2.128 0.311 1.977
O -0.380 2.587 5.458
O -2.739 1.087 7.624
O -2.851 2.840 2.941
O -5.210 1.340 5.107
O 0.343 0.059 4.494
O -2.433 0.699 4.800
O -0.751 2.628 1.001
Pd -2.888 -1.165 0.891
Pd 1.206 -0.763 2.908
Ba -1.682 -1.929 3.799
Ba 0.000 0.000 0.000


[9]
10
Lattice="-0.387 -1.758 5.674 -2.048 -5.437 1.299 3.712 -4.159 2.088" Properties=species:S:1:pos:R:3 comment="Ba2DySbO6, relaxed, DFT GGA-PBEsol" energy_ev_per_cell=-72.7 spacegroup="Fm-3m (225)" pbc="T T T"
Ba 0.958 -8.515 6.796
Ba 0.319 -2.838 2.265
O 1.914 -5.790 6.065
O 0.151 -3.816 5.074
O 1.126 -7.538 3.987
O 2.098 -4.956 3.370
O -0.637 -5.563 2.996
O -0.821 -6.397 5.690
Dy 0.000 0.000 0.000
Sb 0.639 -5.677 4.530


[10]
54
Lattice="5.941 0.000 0.000 0.000 7.905 -0.003 0.000 -0.426 18.354" Properties=species:S:1:pos:R:3 comment="Ba6Er2Ga4O15, relaxed, DFT GGA-PBEsol" energy_ev_per_cell=-373.4 spacegroup="P2/c (13)" pbc="T T T"
Ba 1.484 0.159 1.642
Ba 3.991 3.846 4.587
Ba 1.484 7.533 7.532
Ba 1.464 3.927 1.427
Ba 4.279 -0.107 4.589
Ba 4.477 3.552 16.924
Ba 4.477 3.713 10.604
Ba 4.457 -0.054 10.819
Ba 1.662 -0.320 13.766
Ba 1.464 3.765 7.747
Ba 1.950 3.633 13.764
Ba 4.457 7.319 16.709
Er 1.494 1.563 16.707
Er 4.447 1.776 7.530
Er 1.494 5.703 10.822
Er 4.447 5.916 1.645
Ga 4.590 1.497 14.071
Ga 4.432 1.914 1.073
Ga 1.509 1.701 10.250
Ga 1.351 1.710 4.894
Ga 1.509 5.565 17.279
Ga 4.432 5.778 8.102
Ga 1.351 5.982 4.280
Ga 4.590 5.769 13.457
O 5.693 2.078 5.711
O 3.050 1.631 9.202
O 5.863 1.422 18.206
O 3.050 5.635 18.326
O 2.697 1.805 6.189
O 4.481 3.677 1.651
O 2.891 5.848 9.149
O 1.124 -0.107 4.589
O 4.557 7.390 7.191
O 3.926 5.110 15.006
O 0.078 6.057 0.146
O 5.863 5.844 9.323
O 1.460 3.463 10.828
O 1.384 7.177 16.368
O 1.384 0.089 11.160
O 4.817 -0.320 13.766
O 4.557 0.302 1.983
O 3.926 2.156 12.523
O 1.460 3.802 16.701
O 2.891 1.844 0.025
O 0.247 5.401 12.641
O 2.697 5.887 2.986
O 2.015 2.369 3.346
O 3.244 5.674 12.163
O 4.481 4.015 7.524
O 0.247 1.864 14.888
O 0.078 1.635 9.029
O 3.244 1.592 15.366
O 2.015 5.323 5.829
O 5.693 5.614 3.464


[11]
18
Lattice="4.431 0.000 0.000 -2.216 10.009 0.000 0.000 0.000 13.900" Properties=species:S:1:pos:R:3 comment="Ba2ErGaTe5, relaxed, DFT GGA-PBEsol" energy_ev_per_cell=-83.2 spacegroup="Cmc2_1 (36)" pbc="T T T"
Ga 0.000 8.802 5.937
Ga 2.216 1.207 12.888
Ba 2.216 7.586 2.539
Ba 0.000 2.552 4.410
Ba 2.216 7.457 11.361
Ba 0.000 2.423 9.490
Te 0.000 5.913 9.203
Te 0.000 0.943 0.536
Te 0.000 7.053 0.019
Te 2.216 2.956 6.969
Te 2.216 9.066 7.487
Te 2.216 0.027 3.662
Te 2.216 4.096 2.253
Te 0.000 6.239 5.065
Te 0.000 9.982 10.612
Te 2.216 3.770 12.015
Er 2.216 5.890 7.196
Er 0.000 4.119 0.246


[12]
18
Lattice="-3.473 -2.858 -0.223 3.130 -1.015 9.718 -8.677 10.244 3.864" Properties=species:S:1:pos:R:3 comment="Ba2ErInTe5, relaxed, DFT GGA-PBEsol" energy_ev_per_cell=-82.6 spacegroup="Cmc2_1 (36)" pbc="T T T"
Te -5.317 2.079 10.683
Te -5.215 5.365 12.459
Te -4.904 5.322 8.169
Te 0.982 -1.728 6.836
Te -2.298 2.219 7.342
Te -2.539 -0.812 4.487
Te -5.682 2.998 4.598
Te -8.701 6.488 6.898
Te -0.355 0.339 1.184
Te -3.982 1.215 0.978
Ba -2.366 2.584 3.728
Ba -7.777 5.112 10.131
Ba -5.594 6.413 4.945
Ba -2.268 -1.409 7.898
In -2.547 2.297 10.218
In -9.704 7.888 4.579
Er -5.408 2.440 7.479
Er 0.438 -0.850 4.076